# CsZnFeF6 (GGA+U, relaxed)
# Magnetic moment, μB per cell: 5.91
# Uncorrected energy, Ry/atom: -0.3320
# N(E_F), states/eV/f.u.: 0.00
data_CsZnFeF6
_chemical_formula_sum 'Cs2 Zn2 Fe2 F12'
_cell_length_a 7.310
_cell_length_b 7.621
_cell_length_c 7.427
_cell_angle_alpha 120.88
_cell_angle_beta 119.48
_cell_angle_gamma 90.00
_space_group_name_H-M_alt 'P 1'
_space_group_IT_number 1
loop_
_space_group_symop_operation_xyz
'x,y,z'
loop_
_atom_site_label
_atom_site_type_symbol
_atom_site_fract_x
_atom_site_fract_y
_atom_site_fract_z
Fe1 Fe 0.500 0.000 0.000
F1 F 0.433 0.683 0.867
F2 F 0.567 0.317 0.133
F3 F 0.193 0.329 0.759
Fe2 Fe 0.500 0.500 0.000
F4 F 0.807 0.671 0.241
F5 F 0.174 0.924 0.348
F6 F 0.826 0.076 0.652
F7 F 0.193 0.930 0.759
Cs1 Cs 0.878 0.628 0.756
F8 F 0.566 0.930 0.759
F9 F 0.566 0.329 0.759
Cs2 Cs 0.122 0.372 0.244
Zn1 Zn 0.500 0.000 0.500
F10 F 0.434 0.070 0.241
Zn2 Zn 0.000 0.000 0.500
F11 F 0.807 0.070 0.241
F12 F 0.434 0.671 0.241